Record 1
Density functional theory data (GGA-PBE) for an optimized crystal structure of ErTlFeTe3.

polymorph energy (0 for the lowest one) = 74 meV per atom

a b c (Å): 12.3450 4.4584 13.0634
angles (deg): 90.00 90.00 90.00
Space group Pnma (No. 62)
Inequivalent atoms, fractional coordinates:
Er  0.0215  0.2500  0.1838 (multiplicity 4)
Tl  0.1855  0.2500  0.4932 (multiplicity 4)
Fe  0.2431  0.7500  0.3014 (multiplicity 4)
Te  0.0365  0.7500  0.3461 (multiplicity 4)
Te  0.0991  0.2500  0.9380 (multiplicity 4)
Te  0.2250  0.7500  0.6971 (multiplicity 4)

Record 2
Density functional theory data (GGA-PBE) for an optimized crystal structure of ErTm6Fe2Te2.

DFT total energy = -119.491 eV per cell

a b c (Å): 3.8334 15.5318 9.2319
angles (deg): 90.00 90.00 90.00
Space group Imm2 (No. 44)
Inequivalent atoms, fractional coordinates:
Er  0.0000  0.0000  0.0000 (multiplicity 2)
Tm  0.0000  0.1365  0.5810 (multiplicity 4)
Tm  0.0000  0.3132  0.3731 (multiplicity 4)
Tm  0.0000  0.3499  0.7329 (multiplicity 4)
Fe  0.0000  0.2365  0.0675 (multiplicity 4)
Te  0.0000  0.0000  0.3361 (multiplicity 2)
Te  0.0000  0.5000  0.2323 (multiplicity 2)

Record 3
Density functional theory data (GGA-PBE) for an optimized crystal structure of Er3Tm3FeTe2.

polymorph energy (0 for the lowest one) = 0 meV per atom

a b c (Å): 8.2040 8.2040 3.9473
angles (deg): 90.00 90.00 120.00
Space group P-62m (No. 189)
Inequivalent atoms, fractional coordinates:
Er  0.0000  0.3914  0.0000 (multiplicity 3)
Tm  0.0000  0.7653  0.5000 (multiplicity 3)
Fe  0.0000  0.0000  0.0000 (multiplicity 1)
Te  0.3333  0.6667  0.5000 (multiplicity 2)

Record 4
Density functional theory data (GGA-PBE) for an optimized crystal structure of Er3Tm3FeTe2.

polymorph energy (0 for the lowest one) = 18 meV per atom

a b c (Å): 8.2072 8.2072 3.9412
angles (deg): 90.00 90.00 120.00
Space group P-62m (No. 189)
Inequivalent atoms, fractional coordinates:
Er  0.0000  0.7646  0.0000 (multiplicity 3)
Tm  0.0000  0.3914  0.5000 (multiplicity 3)
Fe  0.0000  0.0000  0.5000 (multiplicity 1)
Te  0.3333  0.6667  0.0000 (multiplicity 2)

Record 5
Density functional theory data (GGA-PBE) for an optimized crystal structure of Er6TmFe2Te2.

DFT total energy = -120.193 eV per cell

a b c (Å): 3.8215 15.5071 9.2898
angles (deg): 90.00 90.00 90.00
Space group Imm2 (No. 44)
Inequivalent atoms, fractional coordinates:
Er  0.0000  0.1354  0.0000 (multiplicity 4)
Er  0.0000  0.3131  0.7940 (multiplicity 4)
Er  0.0000  0.3513  0.1497 (multiplicity 4)
Tm  0.0000  0.0000  0.4188 (multiplicity 2)
Fe  0.0000  0.2368  0.4883 (multiplicity 4)
Te  0.0000  0.0000  0.7545 (multiplicity 2)
Te  0.0000  0.5000  0.6530 (multiplicity 2)

Record 6
Density functional theory data (GGA-PBE) for an optimized crystal structure of Er5Tm2Fe2Te2.

DFT total energy = -120.069 eV per cell

a b c (Å): 3.8277 15.5528 9.3656
angles (deg): 90.00 90.00 90.00
Space group Imm2 (No. 44)
Inequivalent atoms, fractional coordinates:
Er  0.0000  0.0000  0.0000 (multiplicity 2)
Er  0.0000  0.1347  0.4183 (multiplicity 4)
Er  0.0000  0.3132  0.6231 (multiplicity 4)
Tm  0.0000  0.3519  0.2699 (multiplicity 4)
Fe  0.0000  0.2369  0.9292 (multiplicity 4)
Te  0.0000  0.0000  0.6639 (multiplicity 2)
Te  0.0000  0.5000  0.7655 (multiplicity 2)

Record 7
Density functional theory data (GGA-PBE) for an optimized crystal structure of YEr6Fe2Te2.

DFT total energy = -124.484 eV per cell

a b c (Å): 3.8605 15.6722 9.2554
angles (deg): 90.00 90.00 90.00
Space group Imm2 (No. 44)
Inequivalent atoms, fractional coordinates:
Y  0.0000  0.0000  0.0000 (multiplicity 2)
Er  0.0000  0.1362  0.4173 (multiplicity 4)
Er  0.0000  0.3135  0.6246 (multiplicity 4)
Er  0.0000  0.3491  0.2638 (multiplicity 4)
Fe  0.0000  0.2375  0.9315 (multiplicity 4)
Te  0.0000  0.0000  0.6631 (multiplicity 2)
Te  0.0000  0.5000  0.7671 (multiplicity 2)

Record 8
Density functional theory data (GGA-PBE) for an optimized crystal structure of ErThFe.

polymorph energy (0 for the lowest one) = 0 meV per atom
ΔH_f (0 K) = 0.11 eV per atom

a b c (Å): 6.6610 6.6610 6.6610
angles (deg): 90.00 90.00 90.00
Space group F-43m (No. 216)
Inequivalent atoms, fractional coordinates:
Er  0.0000  0.0000  0.0000 (multiplicity 4)
Th  0.0000  0.0000  0.5000 (multiplicity 4)
Fe  0.2500  0.2500  0.2500 (multiplicity 4)

Record 9
Density functional theory data (GGA-PBE) for an optimized crystal structure of Er6TlFe2.

DFT total energy = -190.871 eV per cell

a b c (Å): 9.3451 9.5574 9.9267
angles (deg): 90.00 90.00 90.00
Space group Immm (No. 71)
Inequivalent atoms, fractional coordinates:
Er  0.0000  0.2179  0.2279 (multiplicity 8)
Er  0.2010  0.5000  0.1857 (multiplicity 8)
Er  0.2092  0.3099  0.5000 (multiplicity 8)
Tl  0.0000  0.0000  0.0000 (multiplicity 2)
Tl  0.0000  0.0000  0.5000 (multiplicity 2)
Fe  0.0000  0.3877  0.0000 (multiplicity 4)
Fe  0.0000  0.5000  0.3920 (multiplicity 4)

Record 10
Density functional theory data (GGA-PBE) for an optimized crystal structure of YErTlFe2.

DFT total energy = -61.610 eV per cell

a b c (Å): 3.9459 3.7807 13.7988
angles (deg): 90.00 90.00 90.00
Space group Amm2 (No. 38)
Inequivalent atoms, fractional coordinates:
Y  0.0000  0.0000  0.0000 (multiplicity 2)
Er  0.0000  0.0000  0.2784 (multiplicity 2)
Tl  0.5000  0.0000  0.6393 (multiplicity 2)
Fe  0.5000  0.0000  0.4268 (multiplicity 2)
Fe  0.5000  0.0000  0.8465 (multiplicity 2)

Record 11
Density functional theory data (GGA-PBE) for an optimized crystal structure of Er2TmFe9.

ΔH_f (0 K) = -0.10 eV per atom

a b c (Å): 5.0131 5.0131 23.9883
angles (deg): 90.00 90.00 120.00
Space group R-3m (No. 166, hexagonal axes)
Inequivalent atoms, fractional coordinates:
Er  0.0000  0.0000  0.1418 (multiplicity 6)
Tm  0.0000  0.0000  0.0000 (multiplicity 3)
Fe  0.0000  0.0000  0.3328 (multiplicity 6)
Fe  0.0000  0.0000  0.5000 (multiplicity 3)
Fe  0.9997  0.4999  0.0817 (multiplicity 18)

Record 12
Density functional theory data (GGA-PBE) for an optimized crystal structure of ErTmFe4.

ΔH_f (0 K) = -0.13 eV per atom

a b c (Å): 7.1575 7.1575 7.1575
angles (deg): 90.00 90.00 90.00
Space group F-43m (No. 216)
Inequivalent atoms, fractional coordinates:
Er  0.0000  0.0000  0.0000 (multiplicity 4)
Tm  0.2500  0.2500  0.7500 (multiplicity 4)
Fe  0.1250  0.1250  0.3750 (multiplicity 16)